A relaxed structure of LaDy2Ni6. Source: Alexandria, functional PBE.

Cell and atoms, written as extended XYZ:
```
9
Lattice="3.780 0.000 0.000 0.000 6.066 -3.502 0.000 0.000 7.005" Properties=species:S:1:pos:R:3 pbc="T T T"
Ni 1.890 4.027 4.680
La 0.000 0.000 0.000
Dy 0.000 2.022 3.502
Ni 1.890 0.000 2.354
Ni 1.890 2.039 1.177
Ni 1.890 4.027 2.325
Dy 3.780 4.044 0.000
Ni 1.890 2.039 -1.177
Ni 1.890 0.000 4.650
```

Output
For the calculated total energy, the calculation gives -5.787 eV per atom. For the total moment, the calculation gives 0.61 Bohr magnetons per cell. The calculation puts the density of states at the Fermi level at 1.076 states/eV/atom.